[1]
The following is a GGA-PBE calculation of a relaxed MgNbInCu crystal, from OQMD via LeMat-Bulk.

Unit cell a=6.6142 b=6.6142 c=6.6142 alpha=90.00 beta=90.00 gamma=90.00
Closest atoms and distances in Å follow each position.
Space group F-43m (No. 216)
Asymmetric unit:
Mg  0.0000  0.0000  0.0000 (multiplicity 4)  4 Nb 2.86, 4 Cu 2.86
Nb  0.2500  0.2500  0.2500 (multiplicity 4)  4 In 2.86, 4 Mg 2.86
In  0.0000  0.0000  0.5000 (multiplicity 4)  4 Nb 2.86, 4 Cu 2.86
Cu  0.2500  0.2500  0.7500 (multiplicity 4)  4 In 2.86, 4 Mg 2.86

Calculated values
For the energy above the most stable polymorph in this dataset, the calculation gives 0.0 meV per atom. As for the crystal system: cubic.

=====

[2]
The following is a GGA-PBE calculation of a relaxed Ho2LuP3 crystal, from OQMD via LeMat-Bulk.

Unit cell a=3.9639 b=3.9639 c=9.6975 alpha=90.00 beta=90.00 gamma=120.00
Closest atoms and distances in Å follow each position.
Space group P-3m1 (No. 164)
Asymmetric unit:
Ho  0.3333  0.6667  0.3317 (multiplicity 2)  6 P 2.81
Lu  0.0000  0.0000  0.0000 (multiplicity 1)  6 P 2.78
P  0.0000  0.0000  0.5000 (multiplicity 1)  6 Ho 2.81
P  0.3333  0.6667  0.8371 (multiplicity 2)  3 Lu 2.78, 3 Ho 2.81

Calculated values
As for the crystal system: trigonal. As for the raw total energy: -0.2421 Ha/atom.

=====

[3]
The following is a GGA-PBE calculation of a relaxed RbAuSeO crystal, from OQMD via LeMat-Bulk.

Unit cell a=4.6654 b=4.6654 c=9.6338 alpha=90.00 beta=90.00 gamma=90.00
Closest atoms and distances in Å follow each position.
Space group P4/nmm (No. 129, origin choice 2)
Asymmetric unit:
Rb  0.2500  0.7500  0.0000 (multiplicity 2)  4 Se 3.19, 4 Rb 3.30
Au  0.2500  0.2500  0.4836 (multiplicity 2)  4 O 2.34, 1 Se 2.49
Se  0.2500  0.2500  0.2256 (multiplicity 2)  1 Au 2.49
O  0.2500  0.7500  0.5000 (multiplicity 2)  4 Au 2.34

Calculated values
For the energy above the most stable polymorph in this dataset, the calculation gives 970.2 meV per atom. As for the crystal system: tetragonal.

=====

[4]
The following is a GGA-PBE calculation of a relaxed TaCdCoPb crystal, from OQMD via LeMat-Bulk.

Unit cell a=6.6700 b=6.6700 c=6.6700 alpha=90.00 beta=90.00 gamma=90.00
Closest atoms and distances in Å follow each position.
Space group F-43m (No. 216)
Asymmetric unit:
Ta  0.0000  0.0000  0.0000 (multiplicity 4)  4 Pb 2.89, 4 Cd 2.89
Cd  0.2500  0.2500  0.7500 (multiplicity 4)  4 Ta 2.89, 4 Co 2.89
Co  0.0000  0.0000  0.5000 (multiplicity 4)  4 Cd 2.89, 4 Pb 2.89
Pb  0.2500  0.2500  0.2500 (multiplicity 4)  4 Ta 2.89, 4 Co 2.89

Calculated values
For the energy above the most stable polymorph in this dataset, the calculation gives 21.4 meV per atom. As for the crystal system: cubic.

=====

[5]
The following is a GGA-PBE calculation of a relaxed NdAs2 crystal, from OQMD via LeMat-Bulk.

Unit cell a=8.4031 b=4.2069 c=8.1830 alpha=90.00 beta=104.01 gamma=90.00
Closest atoms and distances in Å follow each position.
Space group P2_1/c (No. 14)
Asymmetric unit:
Nd  0.2153  0.2490  0.3036 (multiplicity 4)  10 As 3.10-3.24
As  0.0925  0.7502  0.0230 (multiplicity 4)  2 As 2.59
As  0.4981  0.7503  0.3755 (multiplicity 4)  4 As 2.92-2.95, 4 Nd 3.10-3.12

Calculated values
As for the crystal system: monoclinic. As for the raw total energy: -0.2063 Ha/atom.

=====

[6]
The following is a GGA-PBE calculation of a relaxed TaInGa crystal, from OQMD via LeMat-Bulk.

Unit cell a=6.4859 b=6.4859 c=6.4859 alpha=90.00 beta=90.00 gamma=90.00
Closest atoms and distances in Å follow each position.
Space group F-43m (No. 216)
Asymmetric unit:
Ta  0.0000  0.0000  0.0000 (multiplicity 4)  4 In 2.81, 4 Ga 2.81
In  0.2500  0.2500  0.2500 (multiplicity 4)  4 Ta 2.81
Ga  0.2500  0.2500  0.7500 (multiplicity 4)  4 Ta 2.81

Calculated values
As for the crystal system: cubic. As for the raw total energy: -0.1917 Ha/atom.

=====

[7]
The following is a GGA-PBE calculation of a relaxed CdInNiMo crystal, from OQMD via LeMat-Bulk.

Unit cell a=6.4964 b=6.4964 c=6.4964 alpha=90.00 beta=90.00 gamma=90.00
Closest atoms and distances in Å follow each position.
Space group F-43m (No. 216)
Asymmetric unit:
Cd  0.0000  0.0000  0.0000 (multiplicity 4)  4 Mo 2.81, 4 Ni 2.81
In  0.0000  0.0000  0.5000 (multiplicity 4)  4 Ni 2.81, 4 Mo 2.81
Ni  0.2500  0.2500  0.7500 (multiplicity 4)  4 Cd 2.81, 4 In 2.81
Mo  0.2500  0.2500  0.2500 (multiplicity 4)  4 In 2.81, 4 Cd 2.81

Calculated values
As for the crystal system: cubic. As for the raw total energy: -0.1683 Ha/atom.

=====

[8]
The following is a GGA-PBE calculation of a relaxed RbFeCl4 crystal, from OQMD via LeMat-Bulk.

Unit cell a=11.2643 b=7.1110 c=9.2879 alpha=90.00 beta=90.00 gamma=90.00
Closest atoms and distances in Å follow each position.
Space group Pnma (No. 62)
Asymmetric unit:
Rb  0.1795  0.2500  0.1652 (multiplicity 4)  6 Cl 3.32-3.58
Fe  0.0678  0.2500  0.6881 (multiplicity 4)  4 Cl 2.19-2.21
Cl  0.0802  0.9999  0.8283 (multiplicity 8)  1 Fe 2.21
Cl  0.1031  0.7500  0.4245 (multiplicity 4)  1 Fe 2.19
Cl  0.2200  0.2500  0.5412 (multiplicity 4)  1 Fe 2.19

Calculated values
As for the crystal system: orthorhombic. As for the raw total energy: -0.1475 Ha/atom.

=====

[9]
The following is a GGA-PBE calculation of a relaxed Nb2GeTe2 crystal, from OQMD via LeMat-Bulk.

Unit cell a=3.9719 b=3.9719 c=15.0561 alpha=90.00 beta=90.00 gamma=90.00
Closest atoms and distances in Å follow each position.
Space group I4/mmm (No. 139)
Asymmetric unit:
Nb  0.0000  0.5000  0.2500 (multiplicity 4)  4 Nb 2.81, 4 Te 2.85
Ge  0.0000  0.0000  0.0000 (multiplicity 2)  8 Te 3.30
Te  0.0000  0.0000  0.3853 (multiplicity 4)  4 Nb 2.85

Calculated values
As for the crystal system: tetragonal. As for the raw total energy: -0.2214 Ha/atom.

=====

[10]
The following is a GGA-PBE calculation of a relaxed RbCu2F6 crystal, from OQMD via LeMat-Bulk.

Unit cell a=5.2516 b=5.2516 c=5.5252 alpha=90.00 beta=90.00 gamma=120.00
Closest atoms and distances in Å follow each position.
Space group P-31m (No. 162)
Asymmetric unit:
Rb  0.0000  0.0000  0.0000 (multiplicity 1)  6 F 2.65
Cu  0.3333  0.6667  0.5000 (multiplicity 2)  6 F 1.95
F  0.0000  0.3888  0.6946 (multiplicity 6)  2 Cu 1.95

Calculated values
As for the crystal system: trigonal. As for the raw total energy: -0.1430 Ha/atom.

=====

[11]
The following is a GGA-PBE calculation of a relaxed MgAgTeO crystal, from OQMD via LeMat-Bulk.

Unit cell a=5.7534 b=6.9665 c=8.0601 alpha=90.00 beta=90.00 gamma=90.00
Closest atoms and distances in Å follow each position.
Space group P2_12_12_1 (No. 19)
Asymmetric unit:
Mg  0.0706  0.1798  0.0920 (multiplicity 4)  2 O 1.90-1.91
Ag  0.0506  0.4959  0.7648 (multiplicity 4)  2 O 2.24-2.26
Te  0.0830  0.7599  0.0603 (multiplicity 4)  2 Mg 2.94-2.99, 3 Ag 3.01-3.22, 2 Te 3.04
O  0.1098  0.7501  0.5968 (multiplicity 4)  2 Mg 1.90-1.91

Calculated values
For the energy above the most stable polymorph in this dataset, the calculation gives 234.7 meV per atom. As for the crystal system: orthorhombic.

=====

[12]
The following is a GGA-PBE calculation of a relaxed CuBOsAu crystal, from OQMD via LeMat-Bulk.

Unit cell a=5.9510 b=5.9510 c=5.9510 alpha=90.00 beta=90.00 gamma=90.00
Closest atoms and distances in Å follow each position.
Space group F-43m (No. 216)
Asymmetric unit:
Cu  0.0000  0.0000  0.0000 (multiplicity 4)  4 B 2.58, 4 Au 2.58
B  0.2500  0.2500  0.7500 (multiplicity 4)  4 Os 2.58, 4 Cu 2.58
Os  0.0000  0.0000  0.5000 (multiplicity 4)  4 B 2.58, 4 Au 2.58
Au  0.2500  0.2500  0.2500 (multiplicity 4)  4 Os 2.58, 4 Cu 2.58

Calculated values
For the energy above the most stable polymorph in this dataset, the calculation gives 0.0 meV per atom. As for the crystal system: cubic.

=====

[13]
The following is a GGA-PBE calculation of a relaxed TmMgGa crystal, from OQMD via LeMat-Bulk.

Unit cell a=4.9429 b=4.9429 c=6.0814 alpha=90.00 beta=90.00 gamma=120.00
Closest atoms and distances in Å follow each position.
Space group P6_3/mmc (No. 194)
Asymmetric unit:
Tm  0.3333  0.6667  0.2500 (multiplicity 2)  5 Ga 2.85-3.04
Mg  0.0000  0.0000  0.0000 (multiplicity 2)  2 Mg 3.04, 6 Tm 3.23, 6 Ga 3.23
Ga  0.3333  0.6667  0.7500 (multiplicity 2)  5 Tm 2.85-3.04

Calculated values
For the energy above the most stable polymorph in this dataset, the calculation gives 47.5 meV per atom. As for the crystal system: hexagonal.

=====

[14]
The following is a GGA-PBE calculation of a relaxed TbHoPb2 crystal, from OQMD via LeMat-Bulk.

Unit cell a=4.4363 b=4.4977 c=11.6670 alpha=90.00 beta=90.00 gamma=90.00
Closest atoms and distances in Å follow each position.
Space group Amm2 (No. 38)
Asymmetric unit:
Tb  0.0000  0.0000  0.0000 (multiplicity 2)  7 Pb 3.14-3.51
Ho  0.5000  0.0000  0.7405 (multiplicity 2)  7 Pb 3.14-3.51
Pb  0.0000  0.0000  0.2694 (multiplicity 2)  3 Tb 3.14-3.51, 4 Ho 3.18, 2 Pb 3.24
Pb  0.5000  0.0000  0.4713 (multiplicity 2)  3 Ho 3.14-3.51, 4 Tb 3.18, 2 Pb 3.24

Calculated values
As for the crystal system: orthorhombic. As for the raw total energy: -0.1702 Ha/atom.

=====

[15]
The following is a GGA-PBE calculation of a relaxed RbBiAu crystal, from OQMD via LeMat-Bulk.

Unit cell a=7.4602 b=7.4602 c=7.4602 alpha=90.00 beta=90.00 gamma=90.00
Closest atoms and distances in Å follow each position.
Space group F-43m (No. 216)
Asymmetric unit:
Rb  0.0000  0.0000  0.0000 (multiplicity 4)  4 Au 3.23
Bi  0.0000  0.0000  0.5000 (multiplicity 4)  4 Au 3.23
Au  0.2500  0.2500  0.7500 (multiplicity 4)  4 Bi 3.23, 4 Rb 3.23

Calculated values
For the energy above the most stable polymorph in this dataset, the calculation gives 0.0 meV per atom. As for the crystal system: cubic.

=====

[16]
The following is a GGA-PBE calculation of a relaxed BaCdAg crystal, from OQMD via LeMat-Bulk.

Unit cell a=7.7900 b=7.7900 c=7.7900 alpha=90.00 beta=90.00 gamma=90.00
Closest atoms and distances in Å follow each position.
Space group F-43m (No. 216)
Asymmetric unit:
Ba  0.0000  0.0000  0.0000 (multiplicity 4)  4 Cd 3.37, 4 Ag 3.37
Cd  0.2500  0.2500  0.2500 (multiplicity 4)  4 Ba 3.37
Ag  0.2500  0.2500  0.7500 (multiplicity 4)  4 Ba 3.37

Calculated values
As for the crystal system: cubic. As for the raw total energy: -0.0656 Ha/atom.

=====

[17]
The following is a GGA-PBE calculation of a relaxed ErTlTc crystal, from OQMD via LeMat-Bulk.

Unit cell a=6.6600 b=6.6600 c=6.6600 alpha=90.00 beta=90.00 gamma=90.00
Closest atoms and distances in Å follow each position.
Space group F-43m (No. 216)
Asymmetric unit:
Er  0.0000  0.0000  0.0000 (multiplicity 4)  4 Tl 2.88
Tl  0.2500  0.2500  0.2500 (multiplicity 4)  4 Er 2.88, 4 Tc 2.88
Tc  0.0000  0.0000  0.5000 (multiplicity 4)  4 Tl 2.88

Calculated values
As for the crystal system: cubic. As for the raw total energy: -0.1884 Ha/atom.

=====

[18]
The following is a GGA-PBE calculation of a relaxed AcPrFe crystal, from OQMD via LeMat-Bulk.

Unit cell a=7.0866 b=7.0866 c=7.0866 alpha=90.00 beta=90.00 gamma=90.00
Closest atoms and distances in Å follow each position.
Space group F-43m (No. 216)
Asymmetric unit:
Ac  0.0000  0.0000  0.0000 (multiplicity 4)  4 Fe 3.07
Pr  0.0000  0.0000  0.5000 (multiplicity 4)  4 Fe 3.07
Fe  0.2500  0.2500  0.2500 (multiplicity 4)  4 Ac 3.07, 4 Pr 3.07

Calculated values
The calculation puts the energy of formation from the pure elements at 0.32 eV per atom. As for the crystal system: cubic.

=====

[19]
The following is a GGA-PBE calculation of a relaxed Y4TlCuC2 crystal, from OQMD via LeMat-Bulk.

Unit cell a=3.6444 b=3.6444 c=14.9244 alpha=90.00 beta=90.00 gamma=120.00
Closest atoms and distances in Å follow each position.
Space group P-6m2 (No. 187)
Asymmetric unit:
Y  0.0000  0.0000  0.1410 (multiplicity 2)  3 C 2.49
Y  0.3333  0.6667  0.3214 (multiplicity 2)  3 C 2.51
Tl  0.0000  0.0000  0.5000 (multiplicity 1)  6 Y 3.40, 6 Tl 3.64
Cu  0.3333  0.6667  0.0000 (multiplicity 1)  6 Y 2.98
C  0.6667  0.3333  0.2299 (multiplicity 2)  6 Y 2.49-2.51

Calculated values
As for the crystal system: hexagonal. As for the raw total energy: -0.2418 Ha/atom.

=====

[20]
The following is a GGA-PBE calculation of a relaxed SmZrBe2Ge2 crystal, from OQMD via LeMat-Bulk.

Unit cell a=3.8594 b=3.8594 c=7.9022 alpha=90.00 beta=90.00 gamma=120.00
Closest atoms and distances in Å follow each position.
Space group P-3m1 (No. 164)
Asymmetric unit:
Sm  0.0000  0.0000  0.0000 (multiplicity 1)  6 Ge 3.06, 6 Be 3.12
Zr  0.0000  0.0000  0.5000 (multiplicity 1)  6 Be 2.85, 6 Ge 2.90
Be  0.3333  0.6667  0.7244 (multiplicity 2)  3 Ge 2.23
Ge  0.3333  0.6667  0.2648 (multiplicity 2)  3 Be 2.23

Calculated values
As for the crystal system: trigonal. As for the raw total energy: -0.2078 Ha/atom.